Entry w
Material: Er2P4O13
Method: DFT, meta-GGA SCAN
State: PBEsol geometry

Unit cell a=8.9754 b=9.2540 c=13.7447 alpha=90.00 beta=107.78 gamma=90.00
Closest atoms and distances in Å follow each position.
Element x y z (fractional)
O: 0.9219 0.3645 0.0832  1 P 1.50
P: 0.8258 0.2713 0.5598  4 O 1.49-1.61
O: 0.7926 0.1340 0.3332  1 P 1.56
O: 0.6067 0.1584 0.8024  1 P 1.51
O: 0.6101 0.6269 0.1810  1 P 1.50
P: 0.4859 0.2386 0.0553  4 O 1.50-1.61
O: 0.7467 0.8681 0.2350  1 P 1.55
O: 0.8634 0.3876 0.6389  1 P 1.49
P: 0.5141 0.7614 0.9447  4 O 1.50-1.61
P: 0.7167 0.7395 0.1593  4 O 1.50-1.62
O: 0.3899 0.3731 0.8190  1 P 1.50
Er: 0.0252 0.9990 0.7170  6 O 2.16-2.31
O: 0.6267 0.6839 0.5515  2 P 1.59-1.62
P: 0.7784 0.1990 0.8393  4 O 1.51-1.61
O: 0.9219 0.1355 0.5832  1 P 1.50
O: 0.2074 0.8660 0.6668  1 P 1.56
P: 0.1742 0.7713 0.9402  4 O 1.49-1.61
O: 0.7467 0.6319 0.7350  1 P 1.55
O: 0.4226 0.1244 0.5858  1 P 1.50
O: 0.7926 0.3660 0.8332  1 P 1.56
O: 0.3733 0.3161 0.4485  2 P 1.59-1.62
Er: 0.4403 0.9942 0.7242  6 O 2.12-2.32
O: 0.8430 0.1574 0.9587  2 P 1.59-1.61
O: 0.2533 0.1319 0.7650  1 P 1.55
O: 0.1570 0.6574 0.5413  2 P 1.59-1.61
O: 0.6101 0.8731 0.6810  1 P 1.50
O: 0.6267 0.8161 0.0515  2 P 1.59-1.62
O: 0.1306 0.1780 0.3471  1 P 1.51
O: 0.4870 0.6132 0.3728  1 P 1.50
Er: 0.5597 0.4942 0.7758  6 O 2.12-2.32
P: 0.2216 0.8010 0.1607  4 O 1.51-1.61
P: 0.5141 0.7386 0.4447  4 O 1.50-1.61
O: 0.8791 0.3845 0.2893  1 P 1.51
O: 0.3933 0.8416 0.1976  1 P 1.51
O: 0.6067 0.3416 0.3024  1 P 1.51
O: 0.3733 0.1839 0.9485  2 P 1.59-1.62
P: 0.8258 0.2287 0.0598  4 O 1.49-1.61
O: 0.8430 0.3426 0.4587  2 P 1.59-1.61
Er: 0.4403 0.5058 0.2242  6 O 2.12-2.32
O: 0.5130 0.1132 0.1272  1 P 1.50
P: 0.7784 0.3010 0.3393  4 O 1.51-1.61
O: 0.4226 0.3756 0.0858  1 P 1.50
O: 0.2533 0.3681 0.2650  1 P 1.55
Er: 0.9748 0.0010 0.2830  6 O 2.16-2.31
O: 0.8694 0.8220 0.6529  1 P 1.51
O: 0.3933 0.6584 0.6976  1 P 1.51
P: 0.4859 0.2614 0.5553  4 O 1.50-1.61
O: 0.1209 0.6155 0.7107  1 P 1.51
P: 0.1742 0.7287 0.4402  4 O 1.49-1.61
O: 0.8694 0.6780 0.1529  1 P 1.51
O: 0.3899 0.1269 0.3190  1 P 1.50
O: 0.4870 0.8868 0.8728  1 P 1.50
O: 0.5774 0.8756 0.4142  1 P 1.50
O: 0.1306 0.3220 0.8471  1 P 1.51
P: 0.2833 0.2395 0.3407  4 O 1.50-1.62
O: 0.1209 0.8845 0.2107  1 P 1.51
O: 0.6452 0.2762 0.0293  2 P 1.61
Er: 0.5597 0.0058 0.2758  6 O 2.12-2.32
O: 0.3548 0.7762 0.4707  2 P 1.61
O: 0.2074 0.6340 0.1668  1 P 1.56
O: 0.8634 0.1124 0.1389  1 P 1.49
O: 0.6452 0.2238 0.5293  2 P 1.61
O: 0.1366 0.8876 0.8611  1 P 1.49
O: 0.0781 0.6355 0.9168  1 P 1.50
O: 0.1570 0.8426 0.0413  2 P 1.59-1.61
Er: 0.0252 0.5010 0.2170  6 O 2.16-2.31
O: 0.8791 0.1155 0.7893  1 P 1.51
P: 0.2833 0.2605 0.8407  4 O 1.50-1.62
P: 0.7167 0.7605 0.6593  4 O 1.50-1.62
O: 0.3548 0.7238 0.9707  2 P 1.61
O: 0.1366 0.6124 0.3611  1 P 1.49
Er: 0.9748 0.4990 0.7830  6 O 2.16-2.31
O: 0.5130 0.3868 0.6272  1 P 1.50
P: 0.2216 0.6990 0.6607  4 O 1.51-1.61
O: 0.5774 0.6244 0.9142  1 P 1.50
O: 0.0781 0.8645 0.4168  1 P 1.50

Output
- Crystal system: monoclinic
- Total moment: 0.00 μB/cell



Entry x
Material: Er2P4O13
Method: DFT, meta-GGA SCAN
State: PBEsol geometry

Unit cell a=6.6887 b=6.7630 c=12.7792 alpha=104.71 beta=90.00 gamma=119.64
Closest atoms and distances in Å follow each position.
Element x y z (fractional)
O: 0.9173 0.7991 0.3451  2 P 1.58-1.60
P: 0.7722 0.5233 0.3377  4 O 1.50-1.60
O: 0.5495 0.4706 0.9039  1 P 1.53
O: 0.2572 0.0000 0.2500  2 P 1.61
O: 0.3229 0.9857 0.0560  1 P 1.53
O: 0.4505 0.5294 0.0961  1 P 1.53
Er: 0.6945 0.3834 0.0476  6 O 2.18-2.42
O: 0.3126 0.6137 0.2815  1 P 1.50
O: 0.6989 0.3863 0.2185  1 P 1.50
O: 0.9211 0.4706 0.4039  1 P 1.53
O: 0.7428 0.0000 0.7500  2 P 1.61
O: 0.9016 0.7738 0.1010  1 P 1.49
P: 0.2278 0.4767 0.6623  4 O 1.50-1.60
P: 0.7511 0.5233 0.8377  4 O 1.50-1.60
O: 0.6627 0.9857 0.5560  1 P 1.53
P: 0.8303 0.9764 0.6328  4 O 1.49-1.61
Er: 0.3055 0.6166 0.9524  6 O 2.18-2.42
O: 0.9220 0.4953 0.9037  1 P 1.53
O: 0.0827 0.2009 0.6549  2 P 1.58-1.60
P: 0.1697 0.0236 0.3672  4 O 1.49-1.61
O: 0.6874 0.3863 0.7185  1 P 1.50
O: 0.4267 0.5047 0.5963  1 P 1.53
O: 0.1183 0.2009 0.1549  2 P 1.58-1.60
O: 0.6771 0.0143 0.9440  1 P 1.53
O: 0.3373 0.0143 0.4440  1 P 1.53
O: 0.0984 0.2262 0.8990  1 P 1.49
Er: 0.6888 0.3834 0.5476  6 O 2.18-2.42
O: 0.0789 0.5294 0.5961  1 P 1.53
Er: 0.3112 0.6166 0.4524  6 O 2.18-2.42
O: 0.1278 0.2262 0.3990  1 P 1.49
O: 0.0780 0.5047 0.0963  1 P 1.53
O: 0.3011 0.6137 0.7815  1 P 1.50
P: 0.8539 0.0236 0.8672  4 O 1.49-1.61
O: 0.5733 0.4953 0.4037  1 P 1.53
O: 0.8722 0.7738 0.6010  1 P 1.49
O: 0.8817 0.7991 0.8451  2 P 1.58-1.60
P: 0.2489 0.4767 0.1623  4 O 1.50-1.60
P: 0.1461 0.9764 0.1328  4 O 1.49-1.61

Output
- Crystal system: monoclinic
- Total moment: 0.00 μB/cell



What should be chosen as the least stable of them? Choose entry x.



Entry w
Material: ErTa3O9
Method: DFT, meta-GGA SCAN
State: PBEsol geometry

Unit cell a=6.3591 b=7.5454 c=12.3945 alpha=90.00 beta=90.00 gamma=90.00
Closest atoms and distances in Å follow each position.
Element x y z (fractional)
O: 0.6146 0.0433 0.1683  2 Ta 1.96-2.06
O: 0.1975 0.7500 0.6887  2 Ta 1.93
Ta: 0.1941 0.4972 0.7109  6 O 1.93-2.13
O: 0.3854 0.9567 0.8317  2 Ta 1.96-2.06
Ta: 0.3059 0.9972 0.2109  6 O 1.93-2.13
O: 0.5075 0.4486 0.6580  3 Ta 2.00-2.13
O: 0.3025 0.2500 0.1887  2 Ta 1.93
Er: 0.9403 0.7500 0.5341  9 O 2.31-2.52
Ta: 0.6941 0.0028 0.7891  6 O 1.93-2.13
O: 0.3537 0.7500 0.1622  2 Ta 1.98
Ta: 0.6941 0.4972 0.7891  6 O 1.93-2.13
Er: 0.5597 0.2500 0.0341  9 O 2.31-2.52
O: 0.6975 0.7500 0.8113  2 Ta 1.93
O: 0.1146 0.0433 0.3317  2 Ta 1.96-2.06
O: 0.5075 0.0514 0.6580  3 Ta 2.00-2.13
O: 0.8854 0.5433 0.6683  2 Ta 1.96-2.06
Er: 0.4403 0.7500 0.9659  9 O 2.31-2.52
O: 0.7006 0.5323 0.9658  1 Ta 1.97
O: 0.7994 0.0323 0.4658  1 Ta 1.97
O: 0.0756 0.7500 0.9700  2 Ta 1.98
Ta: 0.1941 0.0028 0.7109  6 O 1.93-2.13
Er: 0.0597 0.2500 0.4659  9 O 2.31-2.52
Ta: 0.5000 0.0000 0.5000  6 O 1.97-2.00
O: 0.2006 0.5323 0.5342  1 Ta 1.97
O: 0.6463 0.2500 0.8378  2 Ta 1.98
O: 0.1463 0.2500 0.6622  2 Ta 1.98
Ta: 0.8059 0.9972 0.2891  6 O 1.93-2.13
O: 0.1146 0.4567 0.3317  2 Ta 1.96-2.06
O: 0.3854 0.5433 0.8317  2 Ta 1.96-2.06
O: 0.5756 0.7500 0.5300  2 Ta 1.98
O: 0.8537 0.7500 0.3378  2 Ta 1.98
O: 0.0075 0.4486 0.8420  3 Ta 2.00-2.13
Ta: 0.3059 0.5028 0.2109  6 O 1.93-2.13
O: 0.2994 0.4677 0.0342  1 Ta 1.97
Ta: 0.5000 0.5000 0.5000  6 O 1.97-2.00
O: 0.4244 0.2500 0.4700  2 Ta 1.98
O: 0.9925 0.5514 0.1580  3 Ta 2.00-2.13
Ta: 0.0000 0.0000 0.0000  6 O 1.97-2.00
O: 0.7994 0.4677 0.4658  1 Ta 1.97
O: 0.7006 0.9677 0.9658  1 Ta 1.97
O: 0.9244 0.2500 0.0300  2 Ta 1.98
O: 0.4925 0.5514 0.3420  3 Ta 2.00-2.13
O: 0.2006 0.9677 0.5342  1 Ta 1.97
O: 0.0075 0.0514 0.8420  3 Ta 2.00-2.13
O: 0.2994 0.0323 0.0342  1 Ta 1.97
O: 0.4925 0.9486 0.3420  3 Ta 2.00-2.13
O: 0.9925 0.9486 0.1580  3 Ta 2.00-2.13
Ta: 0.0000 0.5000 0.0000  6 O 1.97-2.00
O: 0.6146 0.4567 0.1683  2 Ta 1.96-2.06
O: 0.8025 0.2500 0.3113  2 Ta 1.93
Ta: 0.8059 0.5028 0.2891  6 O 1.93-2.13
O: 0.8854 0.9567 0.6683  2 Ta 1.96-2.06

Output
- Crystal system: orthorhombic
- Total moment: 0.00 μB/cell



Entry x
Material: ErTa3O9
Method: DFT, meta-GGA SCAN
State: PBEsol geometry

Unit cell a=5.2000 b=7.4121 c=8.2059 alpha=90.00 beta=92.50 gamma=90.00
Closest atoms and distances in Å follow each position.
Element x y z (fractional)
O: 0.5808 0.7500 0.6867  2 Ta 2.00
Ta: 0.5299 0.5077 0.3039  5 O 1.85-2.02
O: 0.1427 0.5679 0.7823  2 Ta 1.95-2.03
O: 0.4192 0.2500 0.3133  2 Ta 2.00
O: 0.1044 0.2500 0.9762  2 Ta 1.94
Ta: 0.4701 0.0077 0.6961  5 O 1.85-2.02
Ta: 0.5299 0.9923 0.3039  5 O 1.85-2.02
O: 0.6704 0.0582 0.8818  2 Ta 1.85-1.98
Ta: 0.0000 0.0000 0.0000  6 O 1.94-2.03
O: 0.7446 0.0451 0.5333  2 Ta 2.02-2.18
Ta: 0.4701 0.4923 0.6961  5 O 1.85-2.02
O: 0.2554 0.9549 0.4667  2 Ta 2.02-2.18
O: 0.3296 0.5582 0.1182  2 Ta 1.85-1.98
O: 0.3269 0.2500 0.6511  2 Ta 1.97
O: 0.6731 0.7500 0.3489  2 Ta 1.97
O: 0.2554 0.5451 0.4667  2 Ta 2.02-2.18
Ta: 0.0000 0.5000 0.0000  6 O 1.94-2.03
O: 0.3296 0.9418 0.1182  2 Ta 1.85-1.98
O: 0.7446 0.4549 0.5333  2 Ta 2.02-2.18
O: 0.8956 0.7500 0.0238  2 Ta 1.94
Er: 0.9666 0.7500 0.5663  8 O 2.27-2.48
O: 0.1427 0.9321 0.7823  2 Ta 1.95-2.03
O: 0.6704 0.4418 0.8818  2 Ta 1.85-1.98
O: 0.8573 0.4321 0.2177  2 Ta 1.95-2.03
O: 0.8573 0.0679 0.2177  2 Ta 1.95-2.03
Er: 0.0334 0.2500 0.4337  8 O 2.27-2.48

Output
- Crystal system: monoclinic
- Total moment: 0.00 μB/cell



What should be chosen as the least stable of them? Choose entry w.



Entry w
Material: Pm3Er
Method: DFT, meta-GGA SCAN
State: PBEsol geometry

Unit cell a=4.9936 b=4.9936 c=4.9936 alpha=90.00 beta=90.00 gamma=90.00
Closest atoms and distances in Å follow each position.
Element x y z (fractional)
Pm: 0.5000 0.0000 0.5000  8 Pm 3.53, 4 Er 3.53
Er: 0.0000 0.0000 0.0000  12 Pm 3.53
Pm: 0.5000 0.5000 0.0000  8 Pm 3.53, 4 Er 3.53
Pm: 0.0000 0.5000 0.5000  8 Pm 3.53, 4 Er 3.53

Output
- Crystal system: cubic
- Total moment: 0.00 μB/cell



Entry x
Material: Pm3Er
Method: DFT, meta-GGA SCAN
State: PBEsol geometry

Unit cell a=5.7014 b=7.1403 c=7.1403 alpha=120.00 beta=90.00 gamma=90.00
Closest atoms and distances in Å follow each position.
Element x y z (fractional)
Pm: 0.7500 0.8329 0.1671  4 Er 3.51-3.57, 8 Pm 3.52-3.58
Pm: 0.2500 0.1671 0.3342  4 Er 3.51-3.57, 8 Pm 3.52-3.58
Pm: 0.7500 0.8329 0.6658  4 Er 3.51-3.57, 8 Pm 3.52-3.58
Pm: 0.7500 0.3342 0.1671  4 Er 3.51-3.57, 8 Pm 3.52-3.58
Er: 0.2500 0.6667 0.3333  12 Pm 3.51-3.57
Er: 0.7500 0.3333 0.6667  12 Pm 3.51-3.57
Pm: 0.2500 0.6658 0.8329  4 Er 3.51-3.57, 8 Pm 3.52-3.58
Pm: 0.2500 0.1671 0.8329  4 Er 3.51-3.57, 8 Pm 3.52-3.58

Output
- Crystal system: hexagonal
- Total moment: 0.00 μB/cell



What should be chosen as the least stable of them? Choose entry x.



Entry w
Material: PrEr3
Method: DFT, meta-GGA SCAN
State: PBEsol geometry

Unit cell a=4.9266 b=4.9266 c=4.9266 alpha=90.00 beta=90.00 gamma=90.00
Closest atoms and distances in Å follow each position.
Element x y z (fractional)
Er: 0.0000 0.5000 0.0000  4 Pr 3.48, 8 Er 3.48
Pr: 0.5000 0.5000 0.5000  12 Er 3.48
Er: 0.5000 0.0000 0.0000  8 Er 3.48, 4 Pr 3.48
Er: 0.0000 0.0000 0.5000  4 Pr 3.48, 8 Er 3.48

Output
- Crystal system: cubic
- Total moment: 0.03 μB/cell



Entry x
Material: PrEr3
Method: DFT, meta-GGA SCAN
State: PBEsol geometry

Unit cell a=5.5790 b=7.0924 c=7.0924 alpha=120.00 beta=90.00 gamma=90.00
Closest atoms and distances in Å follow each position.
Element x y z (fractional)
Er: 0.2500 0.1651 0.3302  8 Er 3.45-3.58, 4 Pr 3.47-3.55
Er: 0.7500 0.3302 0.1651  8 Er 3.45-3.58, 4 Pr 3.47-3.55
Pr: 0.7500 0.3333 0.6667  12 Er 3.47-3.55
Pr: 0.2500 0.6667 0.3333  12 Er 3.47-3.55
Er: 0.2500 0.1651 0.8349  8 Er 3.45-3.58, 4 Pr 3.47-3.55
Er: 0.2500 0.6698 0.8349  8 Er 3.45-3.58, 4 Pr 3.47-3.55
Er: 0.7500 0.8349 0.1651  8 Er 3.45-3.58, 4 Pr 3.47-3.55
Er: 0.7500 0.8349 0.6698  8 Er 3.45-3.58, 4 Pr 3.47-3.55

Output
- Crystal system: hexagonal
- Total moment: 0.00 μB/cell



What should be chosen as the least stable of them? Choose entry w.